PuHfPa: optimized geometry, PBE.

- space group = No. 12
- magnetization (μB/atom) = 1.550
- energy of formation (eV/atom) = 0.067
- distance to the lowest polymorph of the same formula (kJ per mole of atoms) = 0.00
- crystal system = monoclinic

Lattice parameters (Å, degrees): 5.0949 5.9205 5.9901 63.46 64.83 64.51
Each line ends with the local moment (μB).
Fractional coordinates of all 6 atoms:
Pa1 0.3299 0.2005 0.1398  0.06
Pa2 0.6701 0.7995 0.8602  0.06
Pu1 0.6646 0.3675 0.3033  4.74
Pu2 0.3354 0.6325 0.6967  4.74
Hf1 0.9867 0.7627 0.2640  -0.14
Hf2 0.0133 0.2373 0.7360  -0.14